Below is an optimized crystal structure of CoIr2Rh, with properties calculated at the PBEsol level.

abc: 2.6614 4.5576 4.5892
angles: 109.39 90.00 90.00
Fractional positions:
1 Ir 0.5000 0.0000 0.5000
2 Ir 0.0000 0.0000 0.0000
3 Co 0.0000 0.5000 0.5000
4 Rh 0.5000 0.5000 0.0000

Computed properties:
Uncorrected energy ... -0.325 hartree per atom
Fermi-level density of states ... 1.402 states/eV/atom
Relative energy among the computed polymorphs ... 0.82 kcal/mol of atoms
Calculated volume ... 13.1 A^3/atom
Formation energy from the elements ... 38.1 meV/atom

Below is an optimized crystal structure of K2ScAu, with properties calculated at the PBEsol level.

abc: 3.5776 6.2308 7.3831
angles: 114.96 104.02 90.00
Fractional positions:
1 Sc 0.5758 0.5758 0.1516
2 Au 0.2236 0.7236 0.4471
3 K 0.9437 0.9437 0.8873
4 K 0.7570 0.2570 0.5140

Computed properties:
Uncorrected energy ... -0.112 hartree per atom
Fermi-level density of states ... 1.096 states/eV/atom
Calculated volume ... 35.9 A^3/atom
Formation energy from the elements ... 164.3 meV/atom

Below is an optimized crystal structure of SrZn2Pt, with properties calculated at the PBEsol level.

abc: 4.0076 5.0192 5.1004
angles: 119.47 113.13 90.00
Fractional positions:
1 Zn 0.7930 0.7930 0.5859
2 Zn 0.2070 0.2070 0.4141
3 Pt 0.5000 0.0000 0.0000
4 Sr 0.0000 0.5000 0.0000

Computed properties:
Uncorrected energy ... -0.120 hartree per atom
Fermi-level density of states ... 0.452 states/eV/atom
Calculated volume ... 19.9 A^3/atom
Formation energy from the elements ... -283.8 meV/atom

Below is an optimized crystal structure of CaLa2Zn, with properties calculated at the PBEsol level.

abc: 3.6327 3.6327 9.0830
angles: 90.00 90.00 90.00
Fractional positions:
1 La 0.5000 0.5000 0.2917
2 La 0.0000 0.0000 0.0178
3 Ca 0.5000 0.5000 0.6942
4 Zn 0.0000 0.0000 0.4963

Computed properties:
Uncorrected energy ... -0.136 hartree per atom
Fermi-level density of states ... 1.197 states/eV/atom
Calculated volume ... 30.0 A^3/atom
Formation energy from the elements ... -99.6 meV/atom

Below is an optimized crystal structure of Al2CrTe, with properties calculated at the PBEsol level.

abc: 3.3798 3.3802 5.8447
angles: 90.00 89.98 90.00
Fractional positions:
1 Al 0.0001 0.0000 0.2132
2 Al 0.9999 0.0000 0.7868
3 Cr 0.5000 0.5000 0.0000
4 Te 0.5000 0.5000 0.5000

Computed properties:
Uncorrected energy ... -0.194 hartree per atom
Fermi-level density of states ... 0.533 states/eV/atom
Calculated volume ... 16.7 A^3/atom

Below is an optimized crystal structure of SBrO3, with properties calculated at the PBEsol level.

abc: 3.7858 3.7858 3.7858
angles: 90.00 90.00 90.00
Fractional positions:
1 O 0.0000 0.5000 0.0000
2 O 0.0000 0.0000 0.5000
3 O 0.5000 0.0000 0.0000
4 S 0.0000 0.0000 0.0000
5 Br 0.5000 0.5000 0.5000

Computed properties:
Uncorrected energy ... -0.144 hartree per atom
Fermi-level density of states ... 0.833 states/eV/atom
Calculated volume ... 10.9 A^3/atom

Below is an optimized crystal structure of KBaSe2N, with properties calculated at the PBEsol level.

abc: 4.8529 5.6827 5.6827
angles: 90.00 90.00 90.00
Fractional positions:
1 K 0.0000 0.0000 0.0000
2 Se 0.0000 0.0000 0.5000
3 Se 0.0000 0.5000 0.0000
4 N 0.5000 0.0000 0.0000
5 Ba 0.5000 0.5000 0.5000

Computed properties:
Uncorrected energy ... -0.132 hartree per atom
Fermi-level density of states ... 0.867 states/eV/atom
Calculated volume ... 31.3 A^3/atom

Below is an optimized crystal structure of LaGeAsSe2, with properties calculated at the PBEsol level.

abc: 4.8712 4.9696 4.9696
angles: 90.00 90.00 90.00
Fractional positions:
1 As 0.5000 0.0000 0.0000
2 Se 0.0000 0.0000 0.5000
3 Se 0.0000 0.5000 0.0000
4 Ge 0.0000 0.0000 0.0000
5 La 0.5000 0.5000 0.5000

Computed properties:
Uncorrected energy ... -0.190 hartree per atom
Fermi-level density of states ... 0.453 states/eV/atom
Calculated volume ... 24.1 A^3/atom

Below is an optimized crystal structure of Sb2MoCl, with properties calculated at the PBEsol level.

abc: 3.2111 4.7710 5.3242
angles: 90.00 90.00 90.00
Fractional positions:
1 Sb 0.5000 0.0000 0.5000
2 Sb 0.0000 0.0000 0.0000
3 Cl 0.5000 0.5000 0.0000
4 Mo 0.0000 0.5000 0.5000

Computed properties:
Uncorrected energy ... -0.188 hartree per atom
Fermi-level density of states ... 0.911 states/eV/atom
Relative energy among the computed polymorphs ... 12.34 kcal/mol of atoms
Calculated volume ... 20.4 A^3/atom

Below is an optimized crystal structure of CaZrW2, with properties calculated at the PBEsol level.

abc: 3.2247 3.2247 8.1815
angles: 90.00 90.00 90.00
Fractional positions:
1 Zr 0.0000 0.0000 0.4322
2 W 0.0000 0.0000 0.0573
3 W 0.5000 0.5000 0.2216
4 Ca 0.5000 0.5000 0.7889

Computed properties:
Uncorrected energy ... -0.341 hartree per atom
Fermi-level density of states ... 1.115 states/eV/atom
Relative energy among the computed polymorphs ... 0.00 kcal/mol of atoms
Calculated volume ... 21.3 A^3/atom
Formation energy from the elements ... 419.9 meV/atom

Below is an optimized crystal structure of SrZrOs2, with properties calculated at the PBEsol level.

abc: 3.1822 4.6277 4.8930
angles: 90.00 90.00 90.00
Fractional positions:
1 Os 0.5000 0.0000 0.5000
2 Os 0.0000 0.0000 0.0000
3 Sr 0.5000 0.5000 0.0000
4 Zr 0.0000 0.5000 0.5000

Computed properties:
Uncorrected energy ... -0.296 hartree per atom
Fermi-level density of states ... 0.856 states/eV/atom
Relative energy among the computed polymorphs ... 9.53 kcal/mol of atoms
Calculated volume ... 18.0 A^3/atom
Formation energy from the elements ... 793.5 meV/atom

Below is an optimized crystal structure of KCaBr2, with properties calculated at the PBEsol level.

abc: 4.0659 4.2047 7.8671
angles: 90.00 90.00 90.00
Fractional positions:
1 Br 0.0000 0.0000 0.7323
2 Br 0.0000 0.0000 0.2677
3 Ca 0.5000 0.0000 0.0000
4 K 0.5000 0.5000 0.5000

Computed properties:
Uncorrected energy ... -0.118 hartree per atom
Fermi-level density of states ... 0.320 states/eV/atom
Relative energy among the computed polymorphs ... 0.25 kcal/mol of atoms
Calculated volume ... 33.6 A^3/atom

Below is an optimized crystal structure of YHgRh2, with properties calculated at the PBEsol level.

abc: 3.1099 4.0375 5.6540
angles: 90.00 90.00 90.00
Fractional positions:
1 Hg 0.5000 0.5000 0.7779
2 Rh 0.5000 0.5000 0.2518
3 Rh 0.0000 0.0000 0.9980
4 Y 0.0000 0.0000 0.4723

Computed properties:
Uncorrected energy ... -0.227 hartree per atom
Fermi-level density of states ... 1.163 states/eV/atom
Calculated volume ... 17.7 A^3/atom
Formation energy from the elements ... -273.6 meV/atom

Below is an optimized crystal structure of Tl2HgCl, with properties calculated at the PBEsol level.

abc: 3.7225 3.7225 9.3838
angles: 78.56 78.56 60.00
Fractional positions:
1 Cl 0.5000 0.5000 0.5000
2 Hg 0.0000 0.0000 0.0000
3 Tl 0.7538 0.7538 0.7385
4 Tl 0.2462 0.2462 0.2615

Computed properties:
Uncorrected energy ... -0.086 hartree per atom
Fermi-level density of states ... 0.152 states/eV/atom
Relative energy among the computed polymorphs ... 0.25 kcal/mol of atoms
Calculated volume ... 27.4 A^3/atom

Below is an optimized crystal structure of SrSn2Pb2, with properties calculated at the PBEsol level.

abc: 4.2675 8.4775 8.4775
angles: 90.00 90.00 90.00
Fractional positions:
1 Pb 0.5000 0.6588 0.8412
2 Pb 0.5000 0.1588 0.6588
3 Pb 0.5000 0.8412 0.3412
4 Pb 0.5000 0.3412 0.1588
5 Sr 0.0000 0.0000 0.0000
6 Sr 0.0000 0.5000 0.5000
7 Sn 0.0000 0.8762 0.6238
8 Sn 0.0000 0.1238 0.3762
9 Sn 0.0000 0.6238 0.1238
10 Sn 0.0000 0.3762 0.8762

Computed properties:
Uncorrected energy ... -0.144 hartree per atom
Fermi-level density of states ... 0.317 states/eV/atom
Relative energy among the computed polymorphs ... 0.00 kcal/mol of atoms
Calculated volume ... 30.7 A^3/atom
Formation energy from the elements ... -242.7 meV/atom

Below is an optimized crystal structure of SrIn3, with properties calculated at the PBEsol level.

abc: 4.3879 4.3879 7.6238
angles: 90.00 90.00 120.00
Fractional positions:
1 In 0.0000 0.0000 0.7989
2 In 0.3333 0.6667 0.0000
3 In 0.0000 0.0000 0.2011
4 Sr 0.3333 0.6667 0.5000

Computed properties:
Uncorrected energy ... -0.106 hartree per atom
Fermi-level density of states ... 0.457 states/eV/atom
Calculated volume ... 31.8 A^3/atom
Formation energy from the elements ... -181.6 meV/atom

Below is an optimized crystal structure of LiCa2HfAg, with properties calculated at the PBEsol level.

abc: 4.9976 5.2382 5.2382
angles: 90.00 90.00 90.00
Fractional positions:
1 Li 0.0000 0.0000 0.0000
2 Ca 0.0000 0.5000 0.0000
3 Ca 0.0000 0.0000 0.5000
4 Ag 0.5000 0.5000 0.5000
5 Hf 0.5000 0.0000 0.0000

Computed properties:
Uncorrected energy ... -0.117 hartree per atom
Fermi-level density of states ... 0.946 states/eV/atom
Calculated volume ... 27.4 A^3/atom
Formation energy from the elements ... 835.0 meV/atom

Below is an optimized crystal structure of Ca2NiW, with properties calculated at the PBEsol level.

abc: 2.8313 5.3521 5.6501
angles: 116.28 90.00 90.00
Fractional positions:
1 W 0.0000 0.5000 0.5000
2 Ni 0.5000 0.5000 0.0000
3 Ca 0.5000 0.0000 0.5000
4 Ca 0.0000 0.0000 0.0000

Computed properties:
Uncorrected energy ... -0.187 hartree per atom
Fermi-level density of states ... 1.134 states/eV/atom
Relative energy among the computed polymorphs ... 8.57 kcal/mol of atoms
Calculated volume ... 19.2 A^3/atom
Formation energy from the elements ... 974.6 meV/atom

Below is an optimized crystal structure of TiGa, with properties calculated at the PBEsol level.

abc: 2.7688 2.7688 3.9252
angles: 90.00 90.00 90.00
Fractional positions:
1 Ga 0.0000 0.0000 0.0000
2 Ti 0.5000 0.5000 0.5000

Computed properties:
Uncorrected energy ... -0.234 hartree per atom
Fermi-level density of states ... 0.737 states/eV/atom
Calculated volume ... 15.0 A^3/atom
Formation energy from the elements ... -524.9 meV/atom

Below is an optimized crystal structure of YSbTeW2, with properties calculated at the PBEsol level.

abc: 4.8863 4.8863 5.4024
angles: 90.00 90.00 90.00
Fractional positions:
1 W 0.0000 0.5000 0.0000
2 W 0.5000 0.0000 0.0000
3 Te 0.5000 0.5000 0.5000
4 Sb 0.0000 0.0000 0.5000
5 Y 0.0000 0.0000 0.0000

Computed properties:
Uncorrected energy ... -0.223 hartree per atom
Fermi-level density of states ... 1.528 states/eV/atom
Calculated volume ... 25.8 A^3/atom